Tl5Hg3Bi after structural relaxation. Source: Alexandria via LeMat-Bulk, functional PBE.

Calculated volume   549 Å³ per cell
Final energy   -33.56 eV for the cell shown

a b c (Å): 9.655 9.655 6.795
angles (deg): 90.00 90.00 120.00
Positions (direct):
Tl1 0.000 0.302 0.250
Tl2 0.000 0.698 0.750
Tl3 0.302 0.000 0.250
Tl4 0.302 0.302 0.750
Tl5 0.333 0.667 0.000
Tl6 0.333 0.667 0.500
Tl7 0.667 0.333 0.000
Tl8 0.667 0.333 0.500
Tl9 0.698 0.000 0.750
Tl10 0.698 0.698 0.250
Hg1 0.000 0.361 0.750
Hg2 0.000 0.639 0.250
Hg3 0.361 0.000 0.750
Hg4 0.361 0.361 0.250
Hg5 0.639 0.000 0.250
Hg6 0.639 0.639 0.750
Bi1 0.000 0.000 0.000
Bi2 0.000 0.000 0.500

***

Tl2Hg4Bi after structural relaxation. Source: Alexandria via LeMat-Bulk, functional PBE.

Calculated volume   208 Å³ per cell
Final energy   -9.72 eV for the cell shown
Energy relative to the lowest polymorph listed for this composition   0.00 eV/f.u.

a b c (Å): 3.466 3.466 20.182
angles (deg): 97.04 97.04 60.08
Positions (direct):
Tl1 0.091 0.091 0.205
Tl2 0.909 0.909 0.795
Hg1 0.354 0.354 0.064
Hg2 0.445 0.445 0.345
Hg3 0.555 0.555 0.655
Hg4 0.646 0.646 0.936
Bi1 0.500 0.500 0.500

***

| no. | total magnetization (μB per formula unit) |
| --- | --- |
| 1 | 0.000 |
| 2 | 0.000 |